1.
A plane-wave DFT calculation with GGA-PBE was carried out for crystalline Ti6Ga10Ru at its relaxed geometry.

a = 5.3497 Å, b = 7.7053 Å, c = 7.7053 Å
α = 120.00°, β = 90.00°, γ = 90.00°
With the nearest neighbours (Å) after each atom.
Element x y z (fractional)
Ga 0.8049 0.2527 0.0000  1 Ru 2.54, 4 Ti 2.66-2.83
Ga 0.1951 0.2527 0.2527  1 Ru 2.54, 4 Ti 2.66-2.83
Ga 0.8049 0.7473 0.7473  1 Ru 2.54, 4 Ti 2.66-2.83
Ga 0.1951 0.0000 0.7473  1 Ru 2.54, 4 Ti 2.66-2.83
Ga 0.0000 0.3333 0.6667  2 Ga 2.67, 6 Ti 2.84
Ga 0.5000 0.6667 0.3333  6 Ti 2.65, 2 Ga 2.67
Ga 0.1951 0.7473 0.0000  1 Ru 2.54, 4 Ti 2.66-2.83
Ga 0.0000 0.6667 0.3333  2 Ga 2.67, 6 Ti 2.84
Ga 0.8049 0.0000 0.2527  1 Ru 2.54, 4 Ti 2.66-2.83
Ga 0.5000 0.3333 0.6667  6 Ti 2.65, 2 Ga 2.67
Ti 0.2865 0.0000 0.3856  9 Ga 2.65-2.96, 1 Ti 2.88
Ti 0.2865 0.6144 0.6144  9 Ga 2.65-2.96, 1 Ti 2.88
Ti 0.7135 0.0000 0.6144  9 Ga 2.65-2.96, 1 Ti 2.88
Ti 0.2865 0.3856 0.0000  9 Ga 2.65-2.96, 1 Ti 2.88
Ti 0.7135 0.6144 0.0000  9 Ga 2.65-2.96, 1 Ti 2.88
Ti 0.7135 0.3856 0.3856  9 Ga 2.65-2.96, 1 Ti 2.88
Ru 0.5000 0.0000 0.0000  6 Ga 2.54

Properties
Electronic total energy: -92.0 eV per cell
Space-group type: P-31m (162)
Formation energy from the elements: -0.30 eV/atom

---

2.
A plane-wave DFT calculation with GGA-PBE was carried out for crystalline TiGaRu2 at its relaxed geometry.

a = 3.1206 Å, b = 4.2650 Å, c = 4.2650 Å
α = 90.00°, β = 90.00°, γ = 90.00°
With the nearest neighbours (Å) after each atom.
Element x y z (fractional)
Ti 0.5000 0.0000 0.0000  8 Ru 2.64
Ga 0.5000 0.5000 0.5000  8 Ru 2.64
Ru 0.0000 0.5000 0.0000  4 Ga 2.64, 4 Ti 2.64
Ru 0.0000 0.0000 0.5000  4 Ga 2.64, 4 Ti 2.64

Properties
Electronic total energy: -31.9 eV per cell
Space-group type: P4/mmm (123)
Formation energy from the elements: -0.61 eV/atom

---

3.
A plane-wave DFT calculation with GGA-PBE was carried out for crystalline Ti5GaRu6 at its relaxed geometry.

a = 4.3477 Å, b = 6.1528 Å, c = 7.5193 Å
α = 114.15°, β = 106.80°, γ = 90.00°
With the nearest neighbours (Å) after each atom.
Element x y z (fractional)
Ti 0.3390 0.8390 0.6779  8 Ru 2.62-2.69
Ti 0.0000 0.5000 0.0000  8 Ru 2.64-2.67
Ti 0.3318 0.3318 0.6636  8 Ru 2.63-2.66
Ti 0.6682 0.6682 0.3364  8 Ru 2.63-2.66
Ti 0.6610 0.1610 0.3221  8 Ru 2.62-2.69
Ga 0.0000 0.0000 0.0000  8 Ru 2.68
Ru 0.1683 0.4203 0.3366  7 Ti 2.63-2.69, 1 Ga 2.68
Ru 0.5000 0.7449 0.0000  6 Ti 2.62-2.66, 2 Ga 2.68
Ru 0.8317 0.0837 0.6634  7 Ti 2.63-2.69, 1 Ga 2.68
Ru 0.5000 0.2551 0.0000  6 Ti 2.62-2.66, 2 Ga 2.68
Ru 0.8317 0.5797 0.6634  7 Ti 2.63-2.69, 1 Ga 2.68
Ru 0.1683 0.9163 0.3366  7 Ti 2.63-2.69, 1 Ga 2.68

Properties
Electronic total energy: -107.0 eV per cell
Space-group type: Immm (71)
Formation energy from the elements: -0.73 eV/atom

---

4.
A plane-wave DFT calculation with GGA-PBE was carried out for crystalline Ti4GaRu3 at its relaxed geometry.

a = 3.1042 Å, b = 3.1042 Å, c = 12.3936 Å
α = 90.00°, β = 90.00°, γ = 90.00°
With the nearest neighbours (Å) after each atom.
Element x y z (fractional)
Ru 0.5000 0.5000 0.7486  8 Ti 2.64-2.69
Ru 0.5000 0.5000 0.2514  8 Ti 2.64-2.69
Ru 0.5000 0.5000 0.5000  8 Ti 2.67
Ga 0.5000 0.5000 0.0000  8 Ti 2.74
Ti 0.0000 0.0000 0.3771  8 Ru 2.67-2.69
Ti 0.0000 0.0000 0.1324  4 Ru 2.64, 4 Ga 2.74
Ti 0.0000 0.0000 0.8676  4 Ru 2.64, 4 Ga 2.74
Ti 0.0000 0.0000 0.6229  8 Ru 2.67-2.69

Properties
Electronic total energy: -67.6 eV per cell
Space-group type: P4/mmm (123)
Formation energy from the elements: -0.65 eV/atom

---

5.
A plane-wave DFT calculation with GGA-PBE was carried out for crystalline TiGa4Ru5 at its relaxed geometry.

a = 3.0521 Å, b = 3.0521 Å, c = 15.1006 Å
α = 90.00°, β = 90.00°, γ = 90.00°
With the nearest neighbours (Å) after each atom.
Element x y z (fractional)
Ga 0.0000 0.0000 0.6004  8 Ru 2.63-2.64
Ga 0.0000 0.0000 0.3996  8 Ru 2.63-2.64
Ga 0.0000 0.0000 0.2001  8 Ru 2.63
Ga 0.0000 0.0000 0.7999  8 Ru 2.63
Ru 0.5000 0.5000 0.5000  8 Ga 2.64
Ru 0.5000 0.5000 0.1009  4 Ga 2.63, 4 Ti 2.64
Ru 0.5000 0.5000 0.2996  8 Ga 2.63
Ru 0.5000 0.5000 0.8991  4 Ga 2.63, 4 Ti 2.64
Ru 0.5000 0.5000 0.7004  8 Ga 2.63
Ti 0.0000 0.0000 0.0000  8 Ru 2.64

Properties
Electronic total energy: -70.6 eV per cell
Space-group type: P4/mmm (123)
Formation energy from the elements: -0.42 eV/atom

---

6.
A plane-wave DFT calculation with GGA-PBE was carried out for crystalline Ti4GaRu5 at its relaxed geometry.

a = 3.0836 Å, b = 3.0836 Å, c = 15.2592 Å
α = 90.00°, β = 90.00°, γ = 90.00°
With the nearest neighbours (Å) after each atom.
Element x y z (fractional)
Ti 0.0000 0.0000 0.6023  8 Ru 2.65-2.68
Ti 0.0000 0.0000 0.8064  8 Ru 2.61-2.71
Ti 0.0000 0.0000 0.3977  8 Ru 2.65-2.68
Ti 0.0000 0.0000 0.1936  8 Ru 2.61-2.71
Ru 0.5000 0.5000 0.5000  8 Ti 2.68
Ru 0.5000 0.5000 0.9005  4 Ti 2.61, 4 Ga 2.66
Ru 0.5000 0.5000 0.7006  8 Ti 2.65-2.71
Ru 0.5000 0.5000 0.2994  8 Ti 2.65-2.71
Ru 0.5000 0.5000 0.0995  4 Ti 2.61, 4 Ga 2.66
Ga 0.0000 0.0000 0.0000  8 Ru 2.66, 2 Ti 2.95

Properties
Electronic total energy: -88.2 eV per cell
Space-group type: P4/mmm (123)
Formation energy from the elements: -0.72 eV/atom

---

7.
A plane-wave DFT calculation with GGA-PBE was carried out for crystalline Ti2Ga2Ru at its relaxed geometry.

a = 6.6299 Å, b = 6.6299 Å, c = 3.4972 Å
α = 90.00°, β = 90.00°, γ = 90.00°
With the nearest neighbours (Å) after each atom.
Element x y z (fractional)
Ti 0.3300 0.1700 0.5000  6 Ga 2.54-2.67
Ti 0.1700 0.6700 0.5000  6 Ga 2.54-2.67
Ti 0.6700 0.8300 0.5000  6 Ga 2.54-2.67
Ti 0.8300 0.3300 0.5000  6 Ga 2.54-2.67
Ga 0.1330 0.3670 0.0000  1 Ga 2.49, 6 Ti 2.54-2.67, 2 Ru 2.59
Ga 0.8670 0.6330 0.0000  1 Ga 2.49, 6 Ti 2.54-2.67, 2 Ru 2.59
Ga 0.6330 0.1330 0.0000  1 Ga 2.49, 6 Ti 2.54-2.67, 2 Ru 2.59
Ga 0.3670 0.8670 0.0000  1 Ga 2.49, 6 Ti 2.54-2.67, 2 Ru 2.59
Ru 0.0000 0.0000 0.0000  4 Ga 2.59
Ru 0.5000 0.5000 0.0000  4 Ga 2.59

Properties
Electronic total energy: -67.0 eV per cell
Space-group type: P4/mbm (127)
Formation energy from the elements: -0.48 eV/atom

---

8.
A plane-wave DFT calculation with GGA-PBE was carried out for crystalline Ti3Ga4Ru at its relaxed geometry.

a = 5.6079 Å, b = 4.8740 Å, c = 9.1070 Å
α = 90.00°, β = 90.00°, γ = 90.00°
With the nearest neighbours (Å) after each atom.
Element x y z (fractional)
Ti 0.6757 0.0116 0.2707  1 Ru 2.59, 6 Ga 2.74-2.84, 2 Ti 2.83
Ti 0.2010 0.3239 0.5000  2 Ru 2.65-2.91, 8 Ga 2.73-2.88, 2 Ti 2.96
Ti 0.1757 0.9884 0.7707  1 Ru 2.59, 6 Ga 2.74-2.84, 2 Ti 2.83
Ti 0.6757 0.0116 0.7293  1 Ru 2.59, 6 Ga 2.74-2.84, 2 Ti 2.83
Ti 0.7010 0.6761 0.0000  2 Ru 2.65-2.91, 8 Ga 2.73-2.88, 2 Ti 2.96
Ti 0.1757 0.9884 0.2293  1 Ru 2.59, 6 Ga 2.74-2.84, 2 Ti 2.83
Ga 0.4360 0.5131 0.2562  5 Ga 2.72-2.89, 6 Ti 2.74-2.95, 1 Ru 2.77
Ga 0.4360 0.5131 0.7438  5 Ga 2.72-2.89, 6 Ti 2.74-2.95, 1 Ru 2.77
Ga 0.6887 0.3753 0.5000  5 Ga 2.72-2.77, 2 Ru 2.72-2.90, 4 Ti 2.74-2.88
Ga 0.9360 0.4869 0.7562  5 Ga 2.72-2.89, 6 Ti 2.74-2.95, 1 Ru 2.77
Ga 0.1887 0.6247 0.0000  5 Ga 2.72-2.77, 2 Ru 2.72-2.90, 4 Ti 2.74-2.88
Ga 0.9360 0.4869 0.2438  5 Ga 2.72-2.89, 6 Ti 2.74-2.95, 1 Ru 2.77
Ga 0.4638 0.1657 0.0000  2 Ru 2.66-2.95, 3 Ga 2.72-2.89, 6 Ti 2.73-2.84
Ga 0.9638 0.8343 0.5000  2 Ru 2.66-2.95, 3 Ga 2.72-2.89, 6 Ti 2.73-2.84
Ru 0.9385 0.1460 0.0000  3 Ti 2.59-2.65, 5 Ga 2.66-2.90
Ru 0.4385 0.8540 0.5000  3 Ti 2.59-2.65, 5 Ga 2.66-2.90

Properties
Electronic total energy: -96.9 eV per cell
Space-group type: Pmn2_1 (31)
Formation energy from the elements: -0.42 eV/atom

---

9.
A plane-wave DFT calculation with GGA-PBE was carried out for crystalline Ti2Ga3Ru4 at its relaxed geometry.

a = 4.3110 Å, b = 4.3124 Å, c = 8.0550 Å
α = 89.97°, β = 90.00°, γ = 60.01°
With the nearest neighbours (Å) after each atom.
Element x y z (fractional)
Ru 0.3334 0.3332 0.1077  4 Ti 2.59-2.63, 4 Ga 2.62-2.64
Ru 0.9999 0.0003 0.6643  4 Ga 2.61-2.70, 1 Ru 2.65, 3 Ti 2.68
Ru 0.6666 0.6668 0.8923  4 Ti 2.59-2.63, 4 Ga 2.62-2.64
Ru 0.0001 0.9997 0.3357  4 Ga 2.61-2.70, 1 Ru 2.65, 3 Ti 2.68
Ga 0.6666 0.6669 0.5673  4 Ru 2.61-2.62, 3 Ga 2.71-2.72, 1 Ti 2.85
Ga 0.0000 0.0000 0.0000  8 Ru 2.64-2.70
Ga 0.3334 0.3331 0.4327  4 Ru 2.61-2.62, 3 Ga 2.71-2.72, 1 Ti 2.85
Ti 0.6668 0.6664 0.2135  7 Ru 2.59-2.68, 1 Ga 2.85
Ti 0.3332 0.3336 0.7865  7 Ru 2.59-2.68, 1 Ga 2.85

Properties
Electronic total energy: -66.8 eV per cell
Space-group type: P-3m1 (164)
Formation energy from the elements: -0.53 eV/atom

---

10.
A plane-wave DFT calculation with GGA-PBE was carried out for crystalline Ti3Ga6Ru at its relaxed geometry.

a = 6.9216 Å, b = 6.9216 Å, c = 6.9216 Å
α = 94.44°, β = 94.44°, γ = 94.44°
With the nearest neighbours (Å) after each atom.
Element x y z (fractional)
Ga 0.3512 0.0910 0.9905  1 Ru 2.47, 2 Ga 2.50-2.51, 4 Ti 2.72-2.77
Ga 0.8513 0.4907 0.5911  1 Ru 2.47, 2 Ga 2.50-2.51, 4 Ti 2.72-2.77
Ga 0.1487 0.5093 0.4089  1 Ru 2.47, 2 Ga 2.50-2.51, 4 Ti 2.72-2.77
Ga 0.9905 0.3512 0.0910  1 Ru 2.47, 2 Ga 2.50-2.51, 4 Ti 2.72-2.77
Ga 0.4089 0.1487 0.5093  1 Ru 2.47, 2 Ga 2.50-2.51, 4 Ti 2.72-2.77
Ga 0.5093 0.4089 0.1487  1 Ru 2.47, 2 Ga 2.50-2.51, 4 Ti 2.72-2.77
Ga 0.0910 0.9905 0.3512  1 Ru 2.47, 2 Ga 2.50-2.51, 4 Ti 2.72-2.77
Ga 0.6488 0.9090 0.0095  1 Ru 2.47, 2 Ga 2.50-2.51, 4 Ti 2.72-2.77
Ga 0.0095 0.6488 0.9090  1 Ru 2.47, 2 Ga 2.50-2.51, 4 Ti 2.72-2.77
Ga 0.5911 0.8513 0.4907  1 Ru 2.47, 2 Ga 2.50-2.51, 4 Ti 2.72-2.77
Ga 0.4907 0.5911 0.8513  1 Ru 2.47, 2 Ga 2.50-2.51, 4 Ti 2.72-2.77
Ga 0.9090 0.0095 0.6488  1 Ru 2.47, 2 Ga 2.50-2.51, 4 Ti 2.72-2.77
Ti 0.6730 0.2500 0.8268  8 Ga 2.72-2.77
Ti 0.2500 0.8268 0.6730  8 Ga 2.72-2.77
Ti 0.7500 0.1732 0.3270  8 Ga 2.72-2.77
Ti 0.3270 0.7500 0.1732  8 Ga 2.72-2.77
Ti 0.1732 0.3270 0.7500  8 Ga 2.72-2.77
Ti 0.8268 0.6730 0.2500  8 Ga 2.72-2.77
Ru 0.0000 0.0000 0.0000  6 Ga 2.47
Ru 0.5000 0.5000 0.5000  6 Ga 2.47

Properties
Electronic total energy: -109.2 eV per cell
Space-group type: R-3c (167)
Formation energy from the elements: -0.35 eV/atom